No. 1
The following is a DFT calculation (GGA+U) of a relaxed KTh2V3O12 crystal.

Output
Space group ... C2/c (15)
Energy ... -8.0204 eV per atom

a = 10.047 Å, b = 10.047 Å, c = 8.246 Å
α = 100.18°, β = 100.18°, γ = 42.01°
Atoms (fractional coordinates):
K  0.116  0.884  0.750
K  0.884  0.116  0.250
Th  0.251  0.441  0.963
Th  0.441  0.251  0.463
Th  0.559  0.749  0.537
Th  0.749  0.559  0.037
V  0.105  0.275  0.683
V  0.275  0.105  0.183
V  0.393  0.607  0.250
V  0.607  0.393  0.750
V  0.725  0.895  0.817
V  0.895  0.725  0.317
O  0.024  0.255  0.164
O  0.054  0.356  0.891
O  0.117  0.581  0.436
O  0.231  0.701  0.075
O  0.243  0.321  0.676
O  0.255  0.024  0.664
O  0.299  0.769  0.425
O  0.321  0.243  0.176
O  0.356  0.054  0.391
O  0.393  0.455  0.760
O  0.419  0.883  0.064
O  0.455  0.393  0.260
O  0.545  0.607  0.740
O  0.581  0.117  0.936
O  0.607  0.545  0.240
O  0.644  0.946  0.609
O  0.679  0.757  0.824
O  0.701  0.231  0.575
O  0.745  0.976  0.336
O  0.757  0.679  0.324
O  0.769  0.299  0.925
O  0.883  0.419  0.564
O  0.946  0.644  0.109
O  0.976  0.745  0.836

=====

No. 2
The following is a DFT calculation (GGA+U) of a relaxed KThV2O8 crystal.

Output
Space group ... P-3 (147)
Energy ... -7.4984 eV per atom

a = 5.963 Å, b = 5.963 Å, c = 7.836 Å
α = 90.00°, β = 90.00°, γ = 120.00°
Atoms (fractional coordinates):
K  0.000  0.000  0.000
Th  0.000  0.000  0.500
V  0.333  0.667  0.759
V  0.667  0.333  0.241
O  0.170  0.344  0.686
O  0.174  0.830  0.686
O  0.333  0.667  0.974
O  0.344  0.174  0.314
O  0.656  0.826  0.686
O  0.667  0.333  0.026
O  0.826  0.170  0.314
O  0.830  0.656  0.314

=====

No. 3
The following is a DFT calculation (GGA+U) of a relaxed KTh2WO8 crystal.

Output
Space group ... P-1 (2)
Energy ... -7.8692 eV per atom

a = 4.677 Å, b = 5.027 Å, c = 7.734 Å
α = 91.79°, β = 96.72°, γ = 92.44°
Atoms (fractional coordinates):
K  0.000  0.000  0.000
Th  0.448  0.468  0.736
Th  0.552  0.532  0.264
W  0.000  0.000  0.500
O  0.142  0.765  0.329
O  0.256  0.486  0.003
O  0.274  0.289  0.458
O  0.274  0.896  0.698
O  0.726  0.104  0.302
O  0.726  0.711  0.542
O  0.744  0.514  0.997
O  0.858  0.235  0.671

=====

Here are the calculated density numbers, same order: 5.1 3.4 7.5 (g/cm3).